Compound: Cs2V3CdF12
Source: Alexandria
Functional: PBE+U
Structure: relaxed

Unit cell a=7.658 b=7.658 c=7.658 alpha=59.91 beta=59.91 gamma=59.91
Element x y z (fractional)
Cs1 0.120 0.120 0.120
Cs2 0.880 0.880 0.880
V1 0.000 0.500 0.500
V2 0.500 0.000 0.500
V3 0.500 0.500 0.000
Cd1 0.500 0.500 0.500
F1 0.143 0.587 0.587
F2 0.194 0.194 0.583
F3 0.194 0.583 0.194
F4 0.413 0.413 0.857
F5 0.413 0.857 0.413
F6 0.417 0.806 0.806
F7 0.583 0.194 0.194
F8 0.587 0.143 0.587
F9 0.587 0.587 0.143
F10 0.806 0.417 0.806
F11 0.806 0.806 0.417
F12 0.857 0.413 0.413

## Properties
The value obtained for the density of states at the Fermi level is 0.244 states/eV/atom. As for the volume: 317 Å³/f.u. Its electronic total energy is -97.5 eV/cell. Its spin magnetization is 0.389 μB per atom.